1.
This record from Alexandria describes a crystal of Y2CF relaxed with PBEsol. The functional is SCAN.

```
data_Y2CF
_cell_length_a 6.083
_cell_length_b 6.083
_cell_length_c 6.083
_cell_angle_alpha 90.00
_cell_angle_beta 90.00
_cell_angle_gamma 90.00
_symmetry_space_group_name_H-M 'F m -3 m'
_symmetry_Int_Tables_number 225
_symmetry_space_group_name_Hall '-F 4 2 3'
loop_
_atom_site_label
_atom_site_type_symbol
_atom_site_fract_x
_atom_site_fract_y
_atom_site_fract_z
Y1 Y 0.250 0.250 0.250
C1 C 0.000 0.000 0.000
F1 F 0.000 0.000 0.500
```

The calculation puts the formation energy (no corrections) at -1205 meV per atom. The calculation puts the total moment at 0.06 μB per formula unit. The volume is 225.1 Å³ per cell. The value obtained for the density is 6.16 Mg/m³. The calculation puts the density of states at the Fermi level at 1.2 states/eV/f.u.



2.
This record from Alexandria describes a crystal of CuAg3 relaxed with PBEsol. The functional is SCAN.

```
data_CuAg3
_cell_length_a 2.792
_cell_length_b 3.855
_cell_length_c 5.710
_cell_angle_alpha 90.00
_cell_angle_beta 90.00
_cell_angle_gamma 90.00
_symmetry_space_group_name_H-M 'P m m m'
_symmetry_Int_Tables_number 47
loop_
_symmetry_equiv_pos_as_xyz
'x,y,z'
'-x,-y,-z'
'-x,-y,z'
'x,y,-z'
'x,-y,-z'
'-x,y,z'
'-x,y,-z'
'x,-y,z'
loop_
_atom_site_label
_atom_site_type_symbol
_atom_site_fract_x
_atom_site_fract_y
_atom_site_fract_z
Cu1 Cu 0.000 0.000 0.000
Ag1 Ag 0.000 0.000 0.500
Ag2 Ag 0.500 0.500 0.238
```

The calculation puts the total moment at 0.00 μB per formula unit. The value obtained for the energy of formation is 0.09 eV/atom. The volume is 61.5 Å³ per cell. The value obtained for the density is 10.46 Mg/m³. The calculation puts the density of states at the Fermi level at 0.9 states/eV/f.u.



3.
This record from Alexandria describes a crystal of Mg3CuSn relaxed with PBEsol. The functional is SCAN.

```
data_Mg3CuSn
_cell_length_a 5.255
_cell_length_b 5.255
_cell_length_c 5.255
_cell_angle_alpha 90.00
_cell_angle_beta 90.00
_cell_angle_gamma 90.00
_symmetry_space_group_name_H-M 'P m -3 m'
_symmetry_Int_Tables_number 221
_symmetry_space_group_name_Hall '-P 4 2 3'
loop_
_atom_site_label
_atom_site_type_symbol
_atom_site_fract_x
_atom_site_fract_y
_atom_site_fract_z
Mg1 Mg 0.000 0.000 0.500
Cu1 Cu 0.500 0.500 0.500
Sn1 Sn 0.000 0.000 0.000
```

The calculation puts the total moment at 0.00 μB per formula unit. The value obtained for the energy of formation is 0.65 eV/atom. The volume is 145.1 Å³ per cell. The value obtained for the density is 2.92 Mg/m³. The calculation puts the density of states at the Fermi level at 2.1 states/eV/f.u.



4.
This record from Alexandria describes a crystal of Mg2BAu relaxed with PBEsol. The functional is SCAN.

```
data_Mg2BAu
_cell_length_a 8.877
_cell_length_b 8.877
_cell_length_c 4.169
_cell_angle_alpha 90.00
_cell_angle_beta 90.00
_cell_angle_gamma 90.00
_symmetry_space_group_name_H-M 'I -4 2 d'
_symmetry_Int_Tables_number 122
_symmetry_space_group_name_Hall 'I -4 2bw'
loop_
_atom_site_label
_atom_site_type_symbol
_atom_site_fract_x
_atom_site_fract_y
_atom_site_fract_z
Mg1 Mg 0.056 0.250 0.125
B1 B 0.000 0.000 0.000
Au1 Au 0.000 0.000 0.500
```

The calculation puts the total moment at 0.00 μB per formula unit. The value obtained for the energy of formation is 0.02 eV/atom. The volume is 328.5 Å³ per cell. The value obtained for the density is 5.18 Mg/m³. The calculation puts the density of states at the Fermi level at 1.0 states/eV/f.u.



5.
This record from Alexandria describes a crystal of K2InAg2 relaxed with PBEsol. The functional is SCAN.

```
data_K2InAg2
_cell_length_a 7.310
_cell_length_b 7.310
_cell_length_c 5.372
_cell_angle_alpha 90.00
_cell_angle_beta 90.00
_cell_angle_gamma 90.00
_symmetry_space_group_name_H-M 'P 4/m b m'
_symmetry_Int_Tables_number 127
_symmetry_space_group_name_Hall '-P 4 2ab'
loop_
_atom_site_label
_atom_site_type_symbol
_atom_site_fract_x
_atom_site_fract_y
_atom_site_fract_z
K1 K 0.175 0.325 0.000
In1 In 0.000 0.000 0.500
Ag1 Ag 0.134 0.634 0.500
```

The calculation puts the total moment at 0.00 μB per formula unit. The value obtained for the energy of formation is 0.00 eV/atom. The volume is 287.0 Å³ per cell. The value obtained for the density is 4.73 Mg/m³. The calculation puts the density of states at the Fermi level at 2.2 states/eV/f.u.



6.
This record from Alexandria describes a crystal of CsTe3P relaxed with PBEsol. The functional is SCAN.

```
data_CsTe3P
_cell_length_a 7.110
_cell_length_b 7.110
_cell_length_c 7.110
_cell_angle_alpha 90.00
_cell_angle_beta 90.00
_cell_angle_gamma 90.00
_symmetry_space_group_name_H-M 'P m -3 m'
_symmetry_Int_Tables_number 221
_symmetry_space_group_name_Hall '-P 4 2 3'
loop_
_atom_site_label
_atom_site_type_symbol
_atom_site_fract_x
_atom_site_fract_y
_atom_site_fract_z
Cs1 Cs 0.000 0.000 0.000
Te1 Te 0.000 0.000 0.500
P1 P 0.500 0.500 0.500
```

The calculation puts the formation energy (no corrections) at 1430 meV per atom. The calculation puts the total moment at 8.03 μB per formula unit. The volume is 359.4 Å³ per cell. The value obtained for the density is 2.53 Mg/m³. The calculation puts the density of states at the Fermi level at 8.3 states/eV/f.u.



7.
This record from Alexandria describes a crystal of MgTlPb2 relaxed with PBEsol. The functional is SCAN.

```
data_MgTlPb2
_cell_length_a 3.479
_cell_length_b 5.856
_cell_length_c 10.851
_cell_angle_alpha 90.00
_cell_angle_beta 90.00
_cell_angle_gamma 90.00
_symmetry_space_group_name_H-M 'C m m 2'
_symmetry_Int_Tables_number 35
loop_
_symmetry_equiv_pos_as_xyz
'x,y,z'
'-x,-y,z'
'-x,y,z'
'x,-y,z'
'x+1/2,y+1/2,z'
'-x+1/2,-y+1/2,z'
'-x+1/2,y+1/2,z'
'x+1/2,-y+1/2,z'
loop_
_atom_site_label
_atom_site_type_symbol
_atom_site_fract_x
_atom_site_fract_y
_atom_site_fract_z
Mg1 Mg 0.000 0.000 0.000
Tl1 Tl 0.000 0.500 0.230
Pb1 Pb 0.000 0.000 0.491
Pb2 Pb 0.000 0.500 0.763
```

The calculation puts the total moment at 0.00 μB per formula unit. The value obtained for the energy of formation is -0.02 eV/atom. The volume is 221.1 Å³ per cell. The value obtained for the density is 9.66 Mg/m³. The calculation puts the density of states at the Fermi level at 1.5 states/eV/f.u.



8.
This record from Alexandria describes a crystal of LiMg2Ru relaxed with PBEsol. The functional is SCAN.

```
data_LiMg2Ru
_cell_length_a 4.375
_cell_length_b 4.375
_cell_length_c 3.289
_cell_angle_alpha 90.00
_cell_angle_beta 90.00
_cell_angle_gamma 90.00
_symmetry_space_group_name_H-M 'P 4/m m m'
_symmetry_Int_Tables_number 123
_symmetry_space_group_name_Hall '-P 4 2'
loop_
_atom_site_label
_atom_site_type_symbol
_atom_site_fract_x
_atom_site_fract_y
_atom_site_fract_z
Li1 Li 0.000 0.000 0.000
Mg1 Mg 0.000 0.500 0.500
Ru1 Ru 0.500 0.500 0.000
```

The calculation puts the total moment at 0.00 μB per formula unit. The value obtained for the energy of formation is -0.03 eV/atom. The volume is 62.9 Å³ per cell. The value obtained for the density is 4.13 Mg/m³. The calculation puts the density of states at the Fermi level at 1.7 states/eV/f.u.



9.
This record from Alexandria describes a crystal of Li2CdIr relaxed with PBEsol. The functional is SCAN.

```
data_Li2CdIr
_cell_length_a 6.229
_cell_length_b 6.229
_cell_length_c 6.229
_cell_angle_alpha 90.00
_cell_angle_beta 90.00
_cell_angle_gamma 90.00
_symmetry_space_group_name_H-M 'F -4 3 m'
_symmetry_Int_Tables_number 216
_symmetry_space_group_name_Hall 'F -4 2 3'
loop_
_atom_site_label
_atom_site_type_symbol
_atom_site_fract_x
_atom_site_fract_y
_atom_site_fract_z
Li1 Li 0.000 0.000 0.000
Li2 Li 0.250 0.250 0.250
Cd1 Cd 0.250 0.250 0.750
Ir1 Ir 0.000 0.000 0.500
```

The calculation puts the total moment at 0.00 μB per formula unit. The value obtained for the energy of formation is -0.08 eV/atom. The volume is 241.7 Å³ per cell. The value obtained for the density is 8.75 Mg/m³. The calculation puts the density of states at the Fermi level at 1.5 states/eV/f.u.



10.
This record from Alexandria describes a crystal of Ca2FeNi relaxed with PBEsol. The functional is SCAN.

```
data_Ca2FeNi
_cell_length_a 4.080
_cell_length_b 4.080
_cell_length_c 9.382
_cell_angle_alpha 90.00
_cell_angle_beta 90.00
_cell_angle_gamma 90.00
_symmetry_space_group_name_H-M 'I -4 m 2'
_symmetry_Int_Tables_number 119
_symmetry_space_group_name_Hall 'I -4 -2'
loop_
_atom_site_label
_atom_site_type_symbol
_atom_site_fract_x
_atom_site_fract_y
_atom_site_fract_z
Ca1 Ca 0.000 0.000 0.000
Ca2 Ca 0.000 0.500 0.250
Fe1 Fe 0.000 0.000 0.500
Ni1 Ni 0.000 0.500 0.750
```

For the energy relative to the lowest polymorph listed for this composition, the calculation gives 350.5 meV per atom. The calculation puts the total moment at 2.91 μB per formula unit. The value obtained for the energy of formation is 0.54 eV/atom. The volume is 156.1 Å³ per cell. The value obtained for the density is 4.14 Mg/m³. The calculation puts the density of states at the Fermi level at 4.7 states/eV/f.u.